# 1
VASP calculation (PBE-GGA) on crystalline TbCeNdSe3 at its relaxed geometry.

Cell and atoms, written as POSCAR:
```
TbCeNdSe3
1.0
8.080 0.000 0.000
0.000 4.104 0.000
-2.316 0.000 10.178
Tb Ce Nd Se
2 2 2 6
direct
0.164 0.250 0.097 Tb
0.836 0.750 0.903 Tb
0.324 0.750 0.383 Ce
0.676 0.250 0.617 Ce
0.317 0.750 0.796 Nd
0.683 0.250 0.204 Nd
0.034 0.250 0.813 Se
0.292 0.250 0.576 Se
0.409 0.750 0.108 Se
0.591 0.250 0.892 Se
0.708 0.750 0.424 Se
0.966 0.750 0.187 Se
```

Calculated values
- Uncorrected formation energy: -1.5923 eV per atom
- Electronic total energy: -5.89 eV/atom
- Density: 6.7 Mg/m³
- SG: No. 11
- Total magnetization: 0.33 μB/atom

# 2
VASP calculation (PBE-GGA) on crystalline Rb4AlTl4 at its relaxed geometry.

Cell and atoms, written as POSCAR:
```
Rb4AlTl4
1.0
-3.269 3.269 9.957
3.269 -3.269 9.957
3.269 3.269 -9.957
Rb Al Tl
4 1 4
direct
0.083 0.609 0.000 Rb
0.391 0.391 0.475 Rb
0.609 0.083 0.000 Rb
0.917 0.917 0.525 Rb
0.000 0.000 0.000 Al
0.241 0.241 0.578 Tl
0.338 0.759 0.000 Tl
0.662 0.662 0.422 Tl
0.759 0.338 0.000 Tl
```

Calculated values
- Electronic total energy: -1.85 eV/atom
- Density: 4.6 Mg/m³
- SG: No. 121
- Formation energy from the elements: 0.0478 eV per atom
- Total magnetization: 0.00 μB/atom

# 3
VASP calculation (PBE-GGA) on crystalline Np3Cu3NiS8 at its relaxed geometry.

Cell and atoms, written as POSCAR:
```
Np3Cu3NiS8
1.0
6.123 -3.814 0.000
6.123 3.814 0.000
-3.797 0.000 6.161
Np Cu Ni S
3 3 1 8
direct
0.000 0.000 0.000 Np
0.000 0.500 0.500 Np
0.500 0.000 0.500 Np
0.000 0.500 0.000 Cu
0.500 0.000 0.000 Cu
0.500 0.500 0.500 Cu
0.500 0.500 0.000 Ni
0.257 0.257 0.246 S
0.263 0.721 0.234 S
0.265 0.265 0.778 S
0.279 0.737 0.766 S
0.721 0.263 0.234 S
0.735 0.735 0.222 S
0.737 0.279 0.766 S
0.743 0.743 0.754 S
```

Calculated values
- Uncorrected formation energy: -0.6881 eV per atom
- Electronic total energy: -6.68 eV/atom
- Density: 7.0 Mg/m³
- SG: No. 12
- Total magnetization: 0.75 μB/atom

# 4
VASP calculation (PBE-GGA) on crystalline Ac2Zn3GeAu4 at its relaxed geometry.

Cell and atoms, written as POSCAR:
```
Ac2Zn3GeAu4
1.0
4.576 0.000 0.000
0.000 4.576 0.000
0.000 0.000 10.603
Ac Zn Ge Au
2 3 1 4
direct
0.000 0.500 0.248 Ac
0.500 0.000 0.752 Ac
0.000 0.000 0.000 Zn
0.000 0.500 0.625 Zn
0.500 0.000 0.375 Zn
0.500 0.500 0.000 Ge
0.000 0.000 0.500 Au
0.000 0.500 0.869 Au
0.500 0.000 0.131 Au
0.500 0.500 0.500 Au
```

Calculated values
- Electronic total energy: -3.54 eV/atom
- Density: 11.3 Mg/m³
- SG: No. 115
- Formation energy from the elements: -0.5675 eV per atom
- Total magnetization: 0.00 μB/atom

# 5
VASP calculation (PBE-GGA) on crystalline ZnBPCl2 at its relaxed geometry.

Cell and atoms, written as POSCAR:
```
ZnBPCl2
1.0
4.914 0.000 0.000
0.000 4.914 0.000
0.000 0.000 4.790
Zn B P Cl
1 1 1 2
direct
0.000 0.000 0.000 Zn
0.500 0.500 0.500 B
0.000 0.000 0.500 P
0.000 0.500 0.000 Cl
0.500 0.000 0.000 Cl
```

Calculated values
- Uncorrected formation energy: 1.0041 eV per atom
- Electronic total energy: -2.41 eV/atom
- Density: 2.6 Mg/m³
- SG: No. 123
- Total magnetization: 0.35 μB/atom
- Distance to the lowest polymorph of the same formula: 2.118 eV per formula unit

# 6
VASP calculation (PBE-GGA) on crystalline Tm2ScBe at its relaxed geometry.

Cell and atoms, written as POSCAR:
```
Tm2ScBe
1.0
1.646 0.951 11.007
-1.646 0.951 11.007
0.000 -1.901 11.007
Tm Sc Be
2 1 1
direct
0.086 0.086 0.086 Tm
0.914 0.914 0.914 Tm
0.500 0.500 0.500 Sc
0.000 0.000 0.000 Be
```

Calculated values
- Electronic total energy: -4.09 eV/atom
- Density: 6.3 Mg/m³
- SG: No. 166
- Formation energy from the elements: 0.6557 eV per atom
- Total magnetization: 0.00 μB/atom
- Distance to the lowest polymorph of the same formula: 2.397 eV per formula unit

# 7
VASP calculation (PBE-GGA) on crystalline EuGa2Pt at its relaxed geometry.

Cell and atoms, written as POSCAR:
```
EuGa2Pt
1.0
2.152 1.242 5.332
-2.152 1.242 5.332
0.000 -2.485 5.332
Eu Ga Pt
1 2 1
direct
0.000 0.000 0.000 Eu
0.212 0.212 0.212 Ga
0.788 0.788 0.788 Ga
0.500 0.500 0.500 Pt
```

Calculated values
- Electronic total energy: -6.32 eV/atom
- Density: 9.4 Mg/m³
- SG: No. 166
- Formation energy from the elements: -0.7278 eV per atom
- Total magnetization: 1.82 μB/atom

# 8
VASP calculation (PBE-GGA) on crystalline CaAcInGa at its relaxed geometry.

Cell and atoms, written as POSCAR:
```
CaAcInGa
1.0
0.000 3.923 3.923
3.923 0.000 3.923
3.923 3.923 0.000
Ca Ac In Ga
1 1 1 1
direct
0.000 0.000 0.000 Ca
0.500 0.500 0.500 Ac
0.750 0.750 0.750 In
0.250 0.250 0.250 Ga
```

Calculated values
- Electronic total energy: -3.40 eV/atom
- Density: 6.2 Mg/m³
- SG: No. 216
- Formation energy from the elements: -0.4337 eV per atom
- Total magnetization: 0.00 μB/atom

# 9
VASP calculation (PBE-GGA) on crystalline Cs2TlMo2 at its relaxed geometry.

Cell and atoms, written as POSCAR:
```
Cs2TlMo2
1.0
11.259 0.000 0.000
0.000 11.259 0.000
0.000 0.000 3.417
Cs Tl Mo
4 2 4
direct
0.214 0.286 0.000 Cs
0.286 0.786 0.000 Cs
0.714 0.214 0.000 Cs
0.786 0.714 0.000 Cs
0.000 0.000 0.500 Tl
0.500 0.500 0.500 Tl
0.064 0.564 0.500 Mo
0.436 0.064 0.500 Mo
0.564 0.936 0.500 Mo
0.936 0.436 0.500 Mo
```

Calculated values
- Electronic total energy: -3.84 eV/atom
- Density: 5.1 Mg/m³
- SG: No. 127
- Formation energy from the elements: 1.3028 eV per atom
- Total magnetization: 0.00 μB/atom
- Distance to the lowest polymorph of the same formula: 0.000 eV per formula unit

# 10
VASP calculation (PBE-GGA) on crystalline ErTm2Pd at its relaxed geometry.

Cell and atoms, written as POSCAR:
```
ErTm2Pd
1.0
1.792 1.035 9.693
-1.792 1.035 9.693
0.000 -2.069 9.693
Er Tm Pd
1 2 1
direct
0.000 0.000 0.000 Er
0.234 0.234 0.234 Tm
0.766 0.766 0.766 Tm
0.500 0.500 0.500 Pd
```

Calculated values
- Electronic total energy: -4.98 eV/atom
- Density: 9.4 Mg/m³
- SG: No. 166
- Formation energy from the elements: -0.3068 eV per atom
- Total magnetization: 0.00 μB/atom
- Distance to the lowest polymorph of the same formula: 0.753 eV per formula unit

# 11
VASP calculation (PBE-GGA) on crystalline CePmAl2 at its relaxed geometry.

Cell and atoms, written as POSCAR:
```
CePmAl2
1.0
4.176 0.000 0.000
0.000 4.580 0.000
-2.075 0.000 10.526
Ce Pm Al
2 2 4
direct
0.044 0.250 0.089 Ce
0.956 0.750 0.911 Ce
0.311 0.750 0.619 Pm
0.689 0.250 0.381 Pm
0.153 0.750 0.308 Al
0.425 0.250 0.849 Al
0.575 0.750 0.151 Al
0.847 0.250 0.692 Al
```

Calculated values
- Electronic total energy: -4.90 eV/atom
- Density: 5.6 Mg/m³
- SG: No. 11
- Formation energy from the elements: -0.3558 eV per atom
- Total magnetization: 0.13 μB/atom

# 12
VASP calculation (PBE-GGA) on crystalline ZnFe2NiPt at its relaxed geometry.

Cell and atoms, written as POSCAR:
```
ZnFe2NiPt
1.0
4.343 0.000 0.000
0.000 4.343 0.000
0.000 0.000 4.240
Zn Fe Ni Pt
1 2 1 1
direct
0.000 0.000 0.000 Zn
0.000 0.500 0.000 Fe
0.500 0.000 0.000 Fe
0.000 0.000 0.500 Ni
0.500 0.500 0.500 Pt
```

Calculated values
- Electronic total energy: -4.98 eV/atom
- Density: 8.9 Mg/m³
- SG: No. 123
- Formation energy from the elements: 1.0272 eV per atom
- Total magnetization: 1.29 μB/atom
- Distance to the lowest polymorph of the same formula: 0.000 eV per formula unit

# 13
VASP calculation (PBE-GGA) on crystalline TiSbS2Cl at its relaxed geometry.

Cell and atoms, written as POSCAR:
```
TiSbS2Cl
1.0
4.804 0.000 0.000
0.000 4.804 0.000
0.000 0.000 4.662
Ti Sb S Cl
1 1 2 1
direct
0.000 0.000 0.000 Ti
0.500 0.500 0.500 Sb
0.000 0.500 0.000 S
0.500 0.000 0.000 S
0.000 0.000 0.500 Cl
```

Calculated values
- Uncorrected formation energy: -0.4515 eV per atom
- Electronic total energy: -4.88 eV/atom
- Density: 4.2 Mg/m³
- SG: No. 123
- Total magnetization: 0.00 μB/atom
- Distance to the lowest polymorph of the same formula: 0.000 eV per formula unit

# 14
VASP calculation (PBE-GGA) on crystalline Sm5Tl2Sb at its relaxed geometry.

Cell and atoms, written as POSCAR:
```
Sm5Tl2Sb
1.0
-4.301 4.301 6.555
4.301 -4.301 6.555
4.301 4.301 -6.555
Sm Tl Sb
10 4 2
direct
0.000 0.000 0.000 Sm
0.005 0.505 0.813 Sm
0.192 0.005 0.500 Sm
0.308 0.808 0.813 Sm
0.495 0.308 0.500 Sm
0.500 0.500 0.000 Sm
0.505 0.692 0.500 Sm
0.692 0.192 0.187 Sm
0.808 0.995 0.500 Sm
0.995 0.495 0.187 Sm
0.143 0.357 0.500 Tl
0.357 0.857 0.214 Tl
0.643 0.143 0.786 Tl
0.857 0.643 0.500 Tl
0.250 0.250 0.000 Sb
0.750 0.750 0.000 Sb
```

Calculated values
- Uncorrected formation energy: -0.4828 eV per atom
- Electronic total energy: -4.54 eV/atom
- Density: 8.8 Mg/m³
- SG: No. 140
- Total magnetization: 0.00 μB/atom
- Distance to the lowest polymorph of the same formula: 0.000 eV per formula unit

# 15
VASP calculation (PBE-GGA) on crystalline La2Ce3TaN6 at its relaxed geometry.

Cell and atoms, written as POSCAR:
```
La2Ce3TaN6
1.0
3.081 -5.337 0.000
3.081 5.337 0.000
-2.037 0.000 5.667
La Ce Ta N
2 3 1 6
direct
0.167 0.833 0.000 La
0.833 0.167 0.000 La
0.000 0.000 0.500 Ce
0.335 0.665 0.500 Ce
0.665 0.335 0.500 Ce
0.500 0.500 0.000 Ta
0.134 0.421 0.765 N
0.290 0.290 0.244 N
0.421 0.134 0.765 N
0.579 0.866 0.235 N
0.710 0.710 0.756 N
0.866 0.579 0.235 N
```

Calculated values
- Uncorrected formation energy: -1.3716 eV per atom
- Electronic total energy: -8.83 eV/atom
- Density: 8.6 Mg/m³
- SG: No. 12
- Total magnetization: 0.00 μB/atom

# 16
VASP calculation (PBE-GGA) on crystalline KIrW2 at its relaxed geometry.

Cell and atoms, written as POSCAR:
```
KIrW2
1.0
2.766 0.000 0.000
0.000 3.744 0.000
-0.088 0.000 8.511
K Ir W
1 1 2
direct
0.000 0.000 0.000 K
0.494 0.500 0.687 Ir
0.484 0.500 0.358 W
0.989 0.000 0.542 W
```

Calculated values
- Electronic total energy: -8.22 eV/atom
- Density: 11.3 Mg/m³
- SG: No. 6
- Formation energy from the elements: 0.7446 eV per atom
- Total magnetization: 0.00 μB/atom
- Distance to the lowest polymorph of the same formula: 0.362 eV per formula unit

# 17
VASP calculation (PBE-GGA) on crystalline SmThBi2 at its relaxed geometry.

Cell and atoms, written as POSCAR:
```
SmThBi2
1.0
0.000 3.943 3.943
3.943 0.000 3.943
3.943 3.943 0.000
Sm Th Bi
1 1 2
direct
0.000 0.000 0.000 Sm
0.500 0.500 0.500 Th
0.250 0.250 0.250 Bi
0.750 0.750 0.750 Bi
```

Calculated values
- Electronic total energy: -5.56 eV/atom
- Density: 10.8 Mg/m³
- SG: No. 225
- Formation energy from the elements: -0.5862 eV per atom
- Total magnetization: 0.00 μB/atom
- Distance to the lowest polymorph of the same formula: 0.676 eV per formula unit

# 18
VASP calculation (PBE-GGA) on crystalline In2Cu2BPt4 at its relaxed geometry.

Cell and atoms, written as POSCAR:
```
In2Cu2BPt4
1.0
-2.917 2.917 4.027
2.917 -2.917 4.027
2.917 2.917 -4.027
In Cu B Pt
2 2 1 4
direct
0.250 0.750 0.500 In
0.750 0.250 0.500 In
0.234 0.234 0.000 Cu
0.766 0.766 0.000 Cu
0.500 0.500 0.000 B
0.246 0.246 0.492 Pt
0.246 0.754 0.000 Pt
0.754 0.246 0.000 Pt
0.754 0.754 0.508 Pt
```

Calculated values
- Electronic total energy: -5.25 eV/atom
- Density: 13.9 Mg/m³
- SG: No. 139
- Formation energy from the elements: -0.3093 eV per atom
- Total magnetization: 0.00 μB/atom

# 19
VASP calculation (PBE-GGA) on crystalline NdEr3Al at its relaxed geometry.

Cell and atoms, written as POSCAR:
```
NdEr3Al
1.0
6.471 -1.799 0.000
6.471 1.799 0.000
-0.977 0.000 12.401
Nd Er Al
2 6 2
direct
0.226 0.226 0.247 Nd
0.774 0.774 0.753 Nd
0.031 0.031 0.694 Er
0.141 0.141 0.952 Er
0.365 0.365 0.517 Er
0.635 0.635 0.483 Er
0.859 0.859 0.048 Er
0.969 0.969 0.306 Er
0.454 0.454 0.881 Al
0.546 0.546 0.119 Al
```

Calculated values
- Electronic total energy: -4.58 eV/atom
- Density: 7.7 Mg/m³
- SG: No. 12
- Formation energy from the elements: -0.1368 eV per atom
- Total magnetization: 0.09 μB/atom
- Distance to the lowest polymorph of the same formula: 0.000 eV per formula unit

# 20
VASP calculation (PBE-GGA) on crystalline Ac5AlTe4 at its relaxed geometry.

Cell and atoms, written as POSCAR:
```
Ac5AlTe4
1.0
6.694 0.000 0.000
3.331 7.522 0.000
3.335 0.005 7.527
Ac Al Te
5 1 4
direct
0.000 0.000 0.000 Ac
0.212 0.385 0.191 Ac
0.403 0.809 0.385 Ac
0.597 0.191 0.615 Ac
0.788 0.615 0.809 Ac
0.500 0.000 0.000 Al
0.095 0.208 0.601 Te
0.303 0.601 0.792 Te
0.697 0.399 0.208 Te
0.905 0.792 0.399 Te
```

Calculated values
- Uncorrected formation energy: -1.2588 eV per atom
- Electronic total energy: -4.94 eV/atom
- Density: 7.3 Mg/m³
- SG: No. 2
- Total magnetization: 0.00 μB/atom